1.
The following is a PBE calculation of crystalline Ho3ZnGa at its relaxed geometry, from Alexandria.

The structure belongs to space group C2/c (No. 15); the cell edges are 16.301, 9.542 and 6.417 Å and the angles 90.00°, 90.12° and 90.00°. The distinct sites, in fractional coordinates, are Ho at (0.061, 0.249, 0.000), Ho at (0.147, 0.075, 0.502), Ho at (0.150, 0.435, 0.501), Zn at (0.250, 0.250, 0.194), Ga at (0.000, 0.000, 0.250) and Ga at (0.000, 0.500, 0.250).

The value obtained for the formation energy is -0.322 eV/atom. The relative energy among the computed polymorphs is 52.8 meV per atom.

2.
The following is a PBE calculation of crystalline K4Tm3SbS8 at its relaxed geometry, from Alexandria.

The structure belongs to space group R-3m (No. 166, hexagonal axes); the cell edges are 8.0500, 8.0500 and 22.0301 Å and the angles 90.00°, 90.00° and 120.00°. The distinct sites, in fractional coordinates, are K at (0.0000, 0.0000, 0.0000), K at (0.0000, 0.5000, 0.0000), Tm at (0.0000, 0.5000, 0.5000), Sb at (0.0000, 0.0000, 0.5000), S at (0.0000, 0.0000, 0.2330) and S at (0.0049, 0.5024, 0.7666).

The value obtained for the formation energy without anion corrections is -25.46 eV per formula unit.